Entry 1:
LaHgSb2I | Alexandria via LeMat-Bulk | PBE | optimized geometry; ρ = 4.73 g cm⁻³; relative energy among the computed polymorphs = 0.019 eV/atom; ΔE_f (raw) = 0.2 eV per formula unit; magnetic moment = 1.92 μB/cell; Fermi-level density of states = 0.69 states/eV per atom; space-group type = P4/mmm (123)
1.0
6.292 0.000 0.000
0.000 6.292 0.000
0.000 0.000 6.299
La Hg Sb I
1 1 2 1
direct
0.000 0.000 0.000
0.500 0.500 0.500
0.000 0.500 0.000
0.500 0.000 0.000
0.000 0.000 0.500

---

Entry 2:
KSm3 | Alexandria via LeMat-Bulk | PBE | optimized geometry; ρ = 5.44 g cm⁻³; energy relative to the elements = 0.480 eV/atom; magnetic moment = 0.00 μB/cell; Fermi-level density of states = 1.84 states/eV per atom; space-group type = I4/mmm (139)
1.0
-2.626 2.626 5.428
2.626 -2.626 5.428
2.626 2.626 -5.428
K Sm
1 3
direct
0.000 0.000 0.000
0.250 0.750 0.500
0.500 0.500 0.000
0.750 0.250 0.500

---

Entry 3:
Sb2MoPt | Alexandria via LeMat-Bulk | PBE | optimized geometry; ρ = 11.74 g cm⁻³; relative energy among the computed polymorphs = 0.137 eV/atom; ΔE_f (raw) = 0.3 eV per formula unit; magnetic moment = 0.00 μB/cell; Fermi-level density of states = 0.93 states/eV per atom; space-group type = Pmmm (47)
1.0
3.444 0.000 0.000
0.000 3.461 0.000
0.000 0.000 6.346
Sb Mo Pt
2 1 1
direct
0.000 0.000 0.244
0.000 0.000 0.756
0.500 0.500 0.000
0.500 0.500 0.500

---

Entry 4:
Nd3InCo | Alexandria via LeMat-Bulk | PBE | optimized geometry; ρ = 7.09 g cm⁻³; relative energy among the computed polymorphs = 0.013 eV/atom; energy relative to the elements = -0.177 eV/atom; magnetic moment = 0.00 μB/cell; Fermi-level density of states = 0.91 states/eV per atom; space-group type = P1 (1)
1.0
6.950 0.000 0.000
-3.013 6.269 0.000
-1.793 -3.242 6.520
Nd In Co
6 2 2
direct
0.000 0.000 0.000
0.002 0.948 0.465
0.425 0.898 0.842
0.428 0.867 0.294
0.517 0.463 0.465
0.944 0.416 0.841
0.515 0.478 0.993
0.944 0.388 0.333
0.479 0.183 0.662
0.709 0.949 0.658

---

Entry 5:
BeNb3Sn | Alexandria via LeMat-Bulk | PBE | optimized geometry; ρ = 7.53 g cm⁻³; relative energy among the computed polymorphs = 0.000 eV/atom; energy relative to the elements = 0.259 eV/atom; magnetic moment = 0.00 μB/cell; Fermi-level density of states = 1.27 states/eV per atom; space-group type = Pm-3m (221)
1.0
4.476 0.000 0.000
0.000 4.476 0.000
0.000 0.000 4.476
Be Nb Sn
1 3 1
direct
0.000 0.000 0.000
0.000 0.000 0.500
0.000 0.500 0.000
0.500 0.000 0.000
0.500 0.500 0.500

---

Entry 6:
DyYPa2N4 | Alexandria via LeMat-Bulk | PBE | optimized geometry; ρ = 10.63 g cm⁻³; ΔE_f (raw) = -13.3 eV per formula unit; magnetic moment = 0.00 μB/cell; Fermi-level density of states = 0.53 states/eV per atom; space-group type = P2/m (10)
1.0
6.043 0.000 0.000
0.000 3.486 0.000
-2.022 0.000 5.707
Dy Y Pa N
1 1 2 4
direct
0.000 0.000 0.000
0.500 0.500 0.000
0.000 0.500 0.500
0.500 0.000 0.500
0.246 0.000 0.739
0.253 0.500 0.261
0.747 0.500 0.739
0.754 0.000 0.261

---

Entry 7:
CaHoNiPd | Alexandria via LeMat-Bulk | PBE | optimized geometry; ρ = 7.51 g cm⁻³; energy relative to the elements = -0.473 eV/atom; magnetic moment = 0.00 μB/cell; Fermi-level density of states = 0.78 states/eV per atom; space-group type = F-43m (216)
1.0
0.000 3.446 3.446
3.446 0.000 3.446
3.446 3.446 0.000
Ca Ho Ni Pd
1 1 1 1
direct
0.000 0.000 0.000
0.500 0.500 0.500
0.250 0.250 0.250
0.750 0.750 0.750

---

Entry 8:
Mn3SnCl8 | Alexandria via LeMat-Bulk | PBE | optimized geometry; ρ = 2.85 g cm⁻³; ΔE_f (raw) = -12.4 eV per formula unit; magnetic moment = 14.97 μB/cell; Fermi-level density of states = 0.00 states/eV per atom; space-group type = C2/m (12)
1.0
6.692 -3.864 0.000
6.692 3.864 0.000
-4.552 0.000 6.396
Mn Sn Cl
3 1 8
direct
0.000 0.000 0.000
0.000 0.500 0.000
0.500 0.000 0.000
0.500 0.500 0.000
0.213 0.756 0.221
0.239 0.239 0.214
0.244 0.244 0.780
0.244 0.787 0.779
0.756 0.213 0.221
0.756 0.756 0.220
0.761 0.761 0.786
0.787 0.244 0.779

---

Entry 9:
DySc2P | Alexandria via LeMat-Bulk | PBE | optimized geometry; ρ = 4.77 g cm⁻³; relative energy among the computed polymorphs = 0.138 eV/atom; energy relative to the elements = -0.648 eV/atom; magnetic moment = 0.00 μB/cell; Fermi-level density of states = 1.22 states/eV per atom; space-group type = R-3m (166)
1.0
1.800 1.039 8.787
-1.800 1.039 8.787
0.000 -2.078 8.787
Dy Sc P
1 2 1
direct
0.000 0.000 0.000
0.224 0.224 0.224
0.776 0.776 0.776
0.500 0.500 0.500

---

Entry 10:
Ho4Cd2GaAg | Alexandria via LeMat-Bulk | PBE | optimized geometry; ρ = 9.00 g cm⁻³; energy relative to the elements = -0.373 eV/atom; magnetic moment = 0.00 μB/cell; Fermi-level density of states = 0.72 states/eV per atom; space-group type = R-3m (166)
1.0
2.587 1.493 8.453
-2.587 1.493 8.453
0.000 -2.987 8.453
Ho Cd Ga Ag
4 2 1 1
direct
0.123 0.123 0.123
0.373 0.373 0.373
0.627 0.627 0.627
0.877 0.877 0.877
0.249 0.249 0.249
0.751 0.751 0.751
0.000 0.000 0.000
0.500 0.500 0.500

---

Entry 11:
Zr2InRu | Alexandria via LeMat-Bulk | PBE | optimized geometry; ρ = 8.36 g cm⁻³; energy relative to the elements = -0.241 eV/atom; magnetic moment = 0.00 μB/cell; Fermi-level density of states = 1.00 states/eV per atom; space-group type = Cmmm (65)
1.0
3.024 -3.944 0.000
3.024 3.944 0.000
0.000 0.000 3.315
Zr In Ru
2 1 1
direct
0.000 0.500 0.000
0.500 0.000 0.000
0.000 0.000 0.500
0.500 0.500 0.500

---

Entry 12:
YP2HS | Alexandria via LeMat-Bulk | PBE | optimized geometry; ρ = 3.87 g cm⁻³; relative energy among the computed polymorphs = 0.000 eV/atom; magnetic moment = 0.00 μB/cell; Fermi-level density of states = 0.41 states/eV per atom; space-group type = P4/mmm (123)
1.0
3.766 0.000 0.000
0.000 3.766 0.000
0.000 0.000 5.562
Y P H S
1 2 1 1
direct
0.000 0.000 0.000
0.000 0.500 0.500
0.500 0.000 0.500
0.500 0.500 0.500
0.500 0.500 0.000